Record 1
VASP calculation (PBEsol) on crystalline KLi2Y at its relaxed geometry.

Geometry as POSCAR:
```
KLi2Y
1.0
6.2469 -1.6731 0.0000
6.2469 1.6731 0.0000
-1.6192 0.0000 5.8584
K Li Y
1 2 1
Cartesian
0.0000 0.0000 0.0000
1.6776 0.0000 4.9103
6.0142 0.0000 3.0745
9.3034 0.0000 2.2321
```

Output
V = 122 Å³/f.u.
Space group = Cm, No. 8
ΔH_f (0 K) = 311 meV/atom
Total magnetic moment = 0.000 μB per atom
DFT total energy = -2.661 eV per atom
Calculated density = 1.92 g/cm3
D(E_F) = 0.786 states/eV per atom

Record 2
VASP calculation (PBEsol) on crystalline SrTa2Pb at its relaxed geometry.

Geometry as POSCAR:
```
SrTa2Pb
1.0
1.8049 -2.4357 0.0000
1.8049 2.4357 0.0000
0.0000 0.0000 10.3336
Sr Ta Pb
1 2 1
Cartesian
0.0000 0.0000 0.0000
1.8049 0.0000 2.8477
1.8049 0.0000 7.4860
0.0000 0.0000 5.1668
```

Output
V = 91 Å³/f.u.
Space group = Cmmm, No. 65
ΔH_f (0 K) = 868 meV/atom
Total magnetic moment = 0.000 μB per atom
DFT total energy = -6.868 eV per atom
Calculated density = 12.00 g/cm3
D(E_F) = 1.116 states/eV per atom

Please write out number 1 again, unchanged.
VASP calculation (PBEsol) on crystalline KLi2Y at its relaxed geometry.

Geometry as POSCAR:
```
KLi2Y
1.0
6.2469 -1.6731 0.0000
6.2469 1.6731 0.0000
-1.6192 0.0000 5.8584
K Li Y
1 2 1
Cartesian
0.0000 0.0000 0.0000
1.6776 0.0000 4.9103
6.0142 0.0000 3.0745
9.3034 0.0000 2.2321
```

Output
V = 122 Å³/f.u.
Space group = Cm, No. 8
ΔH_f (0 K) = 311 meV/atom
Total magnetic moment = 0.000 μB per atom
DFT total energy = -2.661 eV per atom
Calculated density = 1.92 g/cm3
D(E_F) = 0.786 states/eV per atom

The highest DFT total energy belongs to which entry? KLi2Y

Which value of ΔH_f (0 K) does entry 1 give? 311 meV/atom